No. 1
Compound: CsTlSnSe3
Source: Alexandria
Functional: GGA-PBE
Structure: relaxed

Computed properties:
Its electronic total energy is -42.7 eV for the cell shown. The space-group type is C2/m.

abc: 6.956 6.956 10.758
angles: 82.44 82.44 89.72
Sites, in units of the cell vectors:
Cs 0.767 0.767 0.069
Cs 0.233 0.233 0.931
Tl 0.318 0.682 0.500
Tl 0.682 0.318 0.500
Sn 0.968 0.968 0.677
Sn 0.032 0.032 0.323
Se 0.193 0.193 0.494
Se 0.182 0.750 0.798
Se 0.750 0.182 0.798
Se 0.250 0.818 0.202
Se 0.818 0.250 0.202
Se 0.807 0.807 0.506

No. 2
Compound: Be2CoPd2
Source: Alexandria
Functional: GGA-PBE
Structure: relaxed

Computed properties:
The value obtained for the formation energy is -1.4 eV/f.u. The calculation puts the density of states at the Fermi level at 4.4 states/eV per cell. The space-group type is P4/mbm.

abc: 5.968 5.968 3.192
angles: 90.00 90.00 90.00
Last column: magnetic moment on the atom in μB.
Sites, in units of the cell vectors:
Be 0.366 0.866 0.000  -0.02
Be 0.866 0.634 0.000  -0.02
Be 0.634 0.134 0.000  -0.02
Be 0.134 0.366 0.000  -0.02
Co 0.000 0.000 0.000  1.22
Co 0.500 0.500 0.000  1.22
Pd 0.168 0.668 0.500  0.00
Pd 0.668 0.832 0.500  0.01
Pd 0.832 0.332 0.500  0.00
Pd 0.332 0.168 0.500  0.01

No. 3
Compound: B3MoIr
Source: Alexandria
Functional: GGA-PBE
Structure: relaxed

Computed properties:
The value obtained for the formation energy is 6.5 eV/f.u. The calculation puts the density of states at the Fermi level at 4.1 states/eV per cell. The space-group type is Pm-3m.

abc: 4.042 4.042 4.042
angles: 90.00 90.00 90.00
Last column: magnetic moment on the atom in μB.
Sites, in units of the cell vectors:
Mo 0.500 0.500 0.500  2.51
Ir 0.000 0.000 0.000  0.31
B 0.000 0.500 0.000  0.07
B 0.000 0.000 0.500  0.07
B 0.500 0.000 0.000  0.01

No. 4
Compound: LaNd7Dy12
Source: Alexandria
Functional: GGA-PBE
Structure: relaxed

Computed properties:
The value obtained for the formation energy is 4.5 eV/f.u. The calculation puts the density of states at the Fermi level at 36.7 states/eV per cell. The space-group type is R-3.

abc: 8.787 8.787 8.787
angles: 89.03 89.03 89.03
Sites, in units of the cell vectors:
La 0.000 0.000 0.000
Nd 0.002 0.640 0.123
Nd 0.360 0.877 0.998
Nd 0.877 0.998 0.360
Nd 0.500 0.500 0.500
Nd 0.123 0.002 0.640
Nd 0.640 0.123 0.002
Nd 0.998 0.360 0.877
Dy 0.761 0.223 0.631
Dy 0.777 0.369 0.239
Dy 0.444 0.115 0.346
Dy 0.885 0.654 0.556
Dy 0.369 0.239 0.777
Dy 0.654 0.556 0.885
Dy 0.346 0.444 0.115
Dy 0.631 0.761 0.223
Dy 0.115 0.346 0.444
Dy 0.556 0.885 0.654
Dy 0.223 0.631 0.761
Dy 0.239 0.777 0.369

No. 5
Compound: PuPdPb
Source: Alexandria
Functional: GGA-PBE
Structure: relaxed

Computed properties:
The value obtained for the formation energy is -1.2 eV/f.u. The calculation puts the density of states at the Fermi level at 14.9 states/eV per cell. The space-group type is P6_3/mmc.

abc: 5.049 5.049 6.033
angles: 90.00 90.00 119.99
Last column: magnetic moment on the atom in μB.
Sites, in units of the cell vectors:
Pu 0.000 0.500 0.000  5.43
Pu 0.000 0.500 0.500  5.43
Pd 0.333 0.167 0.750  0.02
Pd 0.667 0.833 0.250  0.02
Pb 0.667 0.833 0.750  -0.04
Pb 0.333 0.167 0.250  -0.04

No. 6
Compound: PrPaGePd
Source: Alexandria
Functional: GGA-PBE
Structure: relaxed

Computed properties:
The value obtained for the formation energy is -1.5 eV/f.u. The calculation puts the density of states at the Fermi level at 8.0 states/eV per cell. The space-group type is F-43m.

abc: 5.118 5.118 5.118
angles: 60.00 60.00 60.00
Last column: magnetic moment on the atom in μB.
Sites, in units of the cell vectors:
Pr 0.750 0.750 0.750  0.29
Ge 0.500 0.500 0.500  -0.02
Pa 0.250 0.250 0.250  1.16
Pd 0.000 0.000 0.000  0.07

No. 7
Compound: SmTmHf
Source: Alexandria
Functional: GGA-PBE
Structure: relaxed

Computed properties:
The value obtained for the formation energy is 0.4 eV/f.u. The calculation puts the density of states at the Fermi level at 8.9 states/eV per cell. The space-group type is Pmmn.

abc: 4.688 3.396 10.497
angles: 90.00 90.00 90.00
Sites, in units of the cell vectors:
Sm 0.347 0.245 0.505
Sm 0.847 0.745 0.318
Tm 0.347 0.245 0.139
Tm 0.847 0.745 0.685
Hf 0.847 0.745 0.981
Hf 0.347 0.245 0.843

No. 8
Compound: PrZn6Cd2
Source: Alexandria
Functional: GGA-PBE
Structure: relaxed

Computed properties:
The value obtained for the formation energy is -0.2 eV/f.u. The calculation puts the density of states at the Fermi level at 5.5 states/eV per cell. The space-group type is P6/mmm.

abc: 3.497 7.788 7.788
angles: 120.00 90.00 90.00
Sites, in units of the cell vectors:
Pr 0.000 0.000 0.000
Zn 0.500 0.339 0.339
Zn 0.500 0.661 0.661
Zn 0.500 0.000 0.661
Zn 0.500 0.661 0.000
Zn 0.500 0.339 0.000
Zn 0.500 0.000 0.339
Cd 0.000 0.333 0.667
Cd 0.000 0.667 0.333

No. 9
Compound: Ta4Tc3
Source: Alexandria
Functional: GGA-PBE
Structure: relaxed

Computed properties:
The value obtained for the formation energy is -2.0 eV/f.u. The calculation puts the density of states at the Fermi level at 3.8 states/eV per cell. The space-group type is I4/mmm.

abc: 11.569 11.569 11.569
angles: 164.12 164.12 22.53
Sites, in units of the cell vectors:
Ta 0.852 0.852 0.000
Ta 0.570 0.570 0.000
Ta 0.430 0.430 0.000
Ta 0.148 0.148 0.000
Tc 0.000 0.000 0.000
Tc 0.713 0.713 0.000
Tc 0.287 0.287 0.000

No. 10
Compound: Ag2GeAu8
Source: Alexandria
Functional: GGA-PBE
Structure: relaxed

Computed properties:
The value obtained for the formation energy is 1.6 eV/f.u. The calculation puts the density of states at the Fermi level at 4.1 states/eV per cell. The space-group type is C2/m.

abc: 5.088 6.915 6.915
angles: 83.23 75.05 75.05
Sites, in units of the cell vectors:
Ag 0.483 0.145 0.145
Ag 0.517 0.855 0.855
Ge 0.000 0.000 0.000
Au 0.805 0.158 0.682
Au 0.195 0.318 0.842
Au 0.901 0.273 0.273
Au 0.099 0.727 0.727
Au 0.805 0.682 0.158
Au 0.195 0.842 0.318
Au 0.297 0.429 0.429
Au 0.703 0.571 0.571

No. 11
Compound: Ce2HfCu
Source: Alexandria
Functional: GGA-PBE
Structure: relaxed

Computed properties:
The value obtained for the formation energy is 1.1 eV/f.u. The calculation puts the density of states at the Fermi level at 8.2 states/eV per cell. The space-group type is R-3m.

abc: 3.027 3.027 11.183
angles: 82.22 82.22 60.00
Sites, in units of the cell vectors:
Hf 0.000 0.000 0.000
Cu 0.500 0.500 0.500
Ce 0.091 0.091 0.726
Ce 0.909 0.909 0.274

No. 12
Compound: YOsPb2
Source: Alexandria
Functional: GGA-PBE
Structure: relaxed

Computed properties:
The value obtained for the formation energy is 2.1 eV/f.u. The calculation puts the density of states at the Fermi level at 4.0 states/eV per cell. The space-group type is Cmmm.

abc: 3.364 3.364 9.641
angles: 90.00 90.00 116.77
Last column: magnetic moment on the atom in μB.
Sites, in units of the cell vectors:
Os 0.500 0.500 0.750  0.12
Pb 0.000 0.000 0.970  0.00
Pb 0.000 0.000 0.530  0.00
Y 0.500 0.500 0.250  0.01

No. 13
Compound: Sc2TlPd8
Source: Alexandria
Functional: GGA-PBE
Structure: relaxed

Computed properties:
The value obtained for the formation energy is -5.8 eV/f.u. The calculation puts the density of states at the Fermi level at 4.0 states/eV per cell. The space-group type is Imm2.

abc: 4.391 6.733 7.580
angles: 116.37 106.87 89.99
Sites, in units of the cell vectors:
Sc 0.787 0.617 0.211
Sc 0.486 0.315 0.607
Tl 0.136 0.883 0.909
Pd 0.636 0.196 0.909
Pd 0.982 0.027 0.599
Pd 0.291 0.337 0.220
Pd 0.787 0.051 0.213
Pd 0.335 0.878 0.307
Pd 0.938 0.480 0.511
Pd 0.136 0.470 0.909
Pd 0.485 0.747 0.606

No. 14
Compound: CdP4Au
Source: Alexandria
Functional: GGA-PBE
Structure: relaxed

Computed properties:
The value obtained for the formation energy is 2.8 eV/f.u. The calculation puts the density of states at the Fermi level at 2.7 states/eV per cell. The space-group type is F-43m.

abc: 5.782 5.782 5.782
angles: 60.00 60.00 60.00
Sites, in units of the cell vectors:
Cd 0.000 0.000 0.000
P 0.596 0.596 0.212
P 0.596 0.212 0.596
P 0.596 0.596 0.596
P 0.212 0.596 0.596
Au 0.250 0.250 0.250

No. 15
Compound: Th2CuSiC
Source: Alexandria
Functional: GGA-PBE
Structure: relaxed

Computed properties:
Its electronic total energy is -71.6 eV for the cell shown. The calculation puts the density of states at the Fermi level at 6.5 states/eV per cell. The space-group type is P2_1/m.

abc: 3.945 6.593 8.217
angles: 107.12 90.00 90.00
Sites, in units of the cell vectors:
Th 0.750 0.807 0.610
Th 0.750 0.780 0.038
Th 0.250 0.193 0.390
Th 0.250 0.220 0.962
Cu 0.250 0.532 0.745
Cu 0.750 0.468 0.255
Si 0.250 0.682 0.304
Si 0.750 0.318 0.696
C 0.250 0.844 0.830
C 0.750 0.156 0.170

No. 16
Compound: HoLuGaPd
Source: Alexandria
Functional: GGA-PBE
Structure: relaxed

Computed properties:
The value obtained for the formation energy is -2.9 eV/f.u. The calculation puts the density of states at the Fermi level at 3.5 states/eV per cell. The space-group type is F-43m.

abc: 4.957 4.957 4.957
angles: 60.00 60.00 60.00
Sites, in units of the cell vectors:
Ga 0.250 0.250 0.250
Lu 0.000 0.000 0.000
Ho 0.500 0.500 0.500
Pd 0.750 0.750 0.750

No. 17
Compound: MgBTe
Source: Alexandria
Functional: GGA-PBE
Structure: relaxed

Computed properties:
Its electronic total energy is -23.5 eV for the cell shown. The calculation puts the density of states at the Fermi level at 1.0 states/eV per cell. The space-group type is P-1.

abc: 3.158 3.574 11.850
angles: 81.07 82.84 80.74
Sites, in units of the cell vectors:
Mg 0.328 0.961 0.629
Mg 0.672 0.039 0.371
Te 0.774 0.796 0.834
Te 0.226 0.204 0.166
B 0.254 0.524 0.494
B 0.746 0.476 0.506

No. 18
Compound: Sr4Al14O25
Source: Alexandria
Functional: GGA-PBE
Structure: relaxed

Computed properties:
Its electronic total energy is -629.1 eV for the cell shown. The calculation puts the density of states at the Fermi level at 0.0 states/eV per cell. The space-group type is Pmma.

abc: 4.935 8.574 25.022
angles: 90.00 90.00 90.00
Sites, in units of the cell vectors:
Al 0.375 0.195 0.186
Al 0.375 0.805 0.314
Al 0.625 0.195 0.814
Al 0.625 0.805 0.686
Al 0.625 0.805 0.814
Al 0.625 0.195 0.686
Al 0.375 0.805 0.186
Al 0.375 0.195 0.314
Al 0.493 0.322 0.066
Al 0.493 0.678 0.434
Al 0.507 0.322 0.934
Al 0.507 0.678 0.566
Al 0.507 0.678 0.934
Al 0.507 0.322 0.566
Al 0.493 0.678 0.066
Al 0.493 0.322 0.434
Al 0.871 0.297 0.250
Al 0.871 0.703 0.250
Al 0.129 0.297 0.750
Al 0.129 0.703 0.750
Al 0.000 0.168 0.000
Al 0.000 0.832 0.500
Al 0.000 0.832 0.000
Al 0.000 0.168 0.500
Al 0.500 0.000 0.000
Al 0.500 0.000 0.500
Al 0.000 0.500 0.000
Al 0.000 0.500 0.500
O 0.677 0.159 0.043
O 0.677 0.841 0.457
O 0.323 0.159 0.957
O 0.323 0.841 0.543
O 0.323 0.841 0.957
O 0.323 0.159 0.543
O 0.677 0.841 0.043
O 0.677 0.159 0.457
O 0.500 0.322 0.137
O 0.500 0.678 0.363
O 0.500 0.322 0.863
O 0.500 0.678 0.637
O 0.500 0.678 0.863
O 0.500 0.322 0.637
O 0.500 0.678 0.137
O 0.500 0.322 0.363
O 0.022 0.229 0.190
O 0.022 0.771 0.310
O 0.978 0.229 0.810
O 0.978 0.771 0.690
O 0.978 0.771 0.810
O 0.978 0.229 0.690
O 0.022 0.771 0.190
O 0.022 0.229 0.310
O 0.525 0.232 0.250
O 0.525 0.768 0.250
O 0.475 0.232 0.750
O 0.475 0.768 0.750
O 0.171 0.000 0.039
O 0.171 0.000 0.461
O 0.829 0.000 0.961
O 0.829 0.000 0.539
O 0.675 0.500 0.050
O 0.675 0.500 0.450
O 0.325 0.500 0.950
O 0.325 0.500 0.550
O 0.423 0.000 0.166
O 0.423 0.000 0.334
O 0.577 0.000 0.834
O 0.577 0.000 0.666
O 0.153 0.337 0.043
O 0.153 0.663 0.457
O 0.847 0.337 0.957
O 0.847 0.663 0.543
O 0.847 0.663 0.957
O 0.847 0.337 0.543
O 0.153 0.663 0.043
O 0.153 0.337 0.457
O 0.890 0.500 0.250
O 0.110 0.500 0.750
Sr 0.960 0.500 0.138
Sr 0.960 0.500 0.362
Sr 0.040 0.500 0.862
Sr 0.040 0.500 0.638
Sr 0.887 0.000 0.120
Sr 0.887 0.000 0.380
Sr 0.113 0.000 0.880
Sr 0.113 0.000 0.620

No. 19
Compound: CeU2O6
Source: Alexandria
Functional: GGA-PBE
Structure: relaxed

Computed properties:
Its electronic total energy is -88.8 eV for the cell shown. The calculation puts the density of states at the Fermi level at 14.7 states/eV per cell. The space-group type is Immm.

abc: 3.850 5.448 6.644
angles: 114.20 106.84 90.00
Last column: magnetic moment on the atom in μB.
Sites, in units of the cell vectors:
Ce 0.000 0.000 0.000  0.62
U 0.334 0.334 0.667  1.73
U 0.666 0.666 0.333  1.73
O 0.829 0.084 0.658  -0.05
O 0.171 0.427 0.342  -0.05
O 0.171 0.916 0.342  -0.05
O 0.500 0.261 0.000  -0.04
O 0.829 0.573 0.658  -0.05
O 0.500 0.739 0.000  -0.04

No. 20
Compound: BaMg2In
Source: Alexandria
Functional: GGA-PBE
Structure: relaxed

Computed properties:
The value obtained for the formation energy is 0.4 eV/f.u. The calculation puts the density of states at the Fermi level at 3.9 states/eV per cell. The space-group type is R-3m.

abc: 11.206 11.206 11.206
angles: 18.62 18.62 18.62
Sites, in units of the cell vectors:
Ba 0.250 0.250 0.250
In 0.750 0.750 0.750
Mg 0.012 0.012 0.012
Mg 0.488 0.488 0.488

No. 21
Compound: PmZrAu
Source: Alexandria
Functional: GGA-PBE
Structure: relaxed

Computed properties:
The value obtained for the formation energy is -1.1 eV/f.u. The calculation puts the density of states at the Fermi level at 4.3 states/eV per cell. The space-group type is I4mm.

abc: 3.484 3.484 6.589
angles: 105.33 105.33 90.00
Sites, in units of the cell vectors:
Au 0.687 0.687 0.373
Zr 0.311 0.311 0.623
Pm 0.002 0.002 0.004